Model 1:
# RbLiMg6 PBE relaxed
# Calculated volume, Å³ per atom: 28.00
data_RbLiMg6
_cell_length_a 5.187
_cell_length_b 7.234
_cell_length_c 7.234
_cell_angle_alpha 55.63
_cell_angle_beta 90.00
_cell_angle_gamma 90.00
_space_group_name_H-M_alt 'P 1'
_space_group_IT_number 1
loop_
_space_group_symop_operation_xyz
'x,y,z'
loop_
_atom_site_label
_atom_site_type_symbol
_atom_site_fract_x
_atom_site_fract_y
_atom_site_fract_z
Rb1 Rb 0.000 0.000 0.000
Li1 Li 0.500 0.169 0.169
Mg1 Mg 0.000 0.437 0.437
Mg2 Mg 0.000 0.499 0.961
Mg3 Mg 0.000 0.961 0.499
Mg4 Mg 0.500 0.120 0.602
Mg5 Mg 0.500 0.602 0.120
Mg6 Mg 0.500 0.612 0.612

Model 2:
# RbLiMg6 PBE relaxed
# Calculated volume, Å³ per atom: 28.64
data_RbLiMg6
_cell_length_a 5.184
_cell_length_b 7.597
_cell_length_c 7.597
_cell_angle_alpha 49.99
_cell_angle_beta 90.00
_cell_angle_gamma 90.00
_space_group_name_H-M_alt 'P 1'
_space_group_IT_number 1
loop_
_space_group_symop_operation_xyz
'x,y,z'
loop_
_atom_site_label
_atom_site_type_symbol
_atom_site_fract_x
_atom_site_fract_y
_atom_site_fract_z
Rb1 Rb 0.000 0.000 0.000
Li1 Li 0.000 0.419 0.419
Mg1 Mg 0.000 0.495 0.970
Mg2 Mg 0.000 0.970 0.495
Mg3 Mg 0.500 0.112 0.609
Mg4 Mg 0.500 0.172 0.172
Mg5 Mg 0.500 0.609 0.112
Mg6 Mg 0.500 0.613 0.613

Relative energy table, unit meV/atom: model 1 0; model 2 6

Model 1:
# Rb2LiMg2 PBE relaxed
# Calculated volume, Å³ per atom: 46.67
data_Rb2LiMg2
_cell_length_a 12.706
_cell_length_b 12.706
_cell_length_c 12.706
_cell_angle_alpha 160.28
_cell_angle_beta 160.28
_cell_angle_gamma 28.02
_space_group_name_H-M_alt 'P 1'
_space_group_IT_number 1
loop_
_space_group_symop_operation_xyz
'x,y,z'
loop_
_atom_site_label
_atom_site_type_symbol
_atom_site_fract_x
_atom_site_fract_y
_atom_site_fract_z
Rb1 Rb 0.111 0.111 0.000
Rb2 Rb 0.889 0.889 0.000
Li1 Li 0.500 0.500 0.000
Mg1 Mg 0.250 0.750 0.500
Mg2 Mg 0.750 0.250 0.500

Model 2:
# Rb2LiMg2 PBE relaxed
# Calculated volume, Å³ per atom: 43.50
data_Rb2LiMg2
_cell_length_a 8.223
_cell_length_b 8.223
_cell_length_c 6.433
_cell_angle_alpha 90.00
_cell_angle_beta 90.00
_cell_angle_gamma 90.00
_space_group_name_H-M_alt 'P 1'
_space_group_IT_number 1
loop_
_space_group_symop_operation_xyz
'x,y,z'
loop_
_atom_site_label
_atom_site_type_symbol
_atom_site_fract_x
_atom_site_fract_y
_atom_site_fract_z
Rb1 Rb 0.178 0.322 0.000
Rb2 Rb 0.322 0.822 0.000
Rb3 Rb 0.678 0.178 0.000
Rb4 Rb 0.822 0.678 0.000
Li1 Li 0.000 0.000 0.500
Li2 Li 0.500 0.500 0.500
Mg1 Mg 0.136 0.636 0.500
Mg2 Mg 0.364 0.136 0.500
Mg3 Mg 0.636 0.864 0.500
Mg4 Mg 0.864 0.364 0.500

Relative energy table, unit meV/atom: model 1 20; model 2 0